## AcSm4Tl5 (PBE-GGA)

Data for an optimized crystal structure of AcSm4Tl5.

Unit cell a=3.876 b=3.876 c=19.997 alpha=90.00 beta=90.00 gamma=90.00
Positions (direct):
Ac  0.000  0.000  0.000
Sm  0.000  0.000  0.210
Sm  0.000  0.000  0.404
Sm  0.000  0.000  0.596
Sm  0.000  0.000  0.790
Tl  0.500  0.500  0.115
Tl  0.500  0.500  0.308
Tl  0.500  0.500  0.500
Tl  0.500  0.500  0.692
Tl  0.500  0.500  0.885

Results
symmetry = P4/mmm (123)
energy = -3.852 eV/atom
Fermi-level density of states = 0.856 states/eV per atom